Here is a geometry-optimized TlCd2Te structure from Alexandria via LeMat-Bulk. Energies are from GGA-PBE.

Results
D(E_F) (states/eV per atom): 0.43
Formation energy from raw total energies (eV/atom): -0.05
Energy relative to the lowest polymorph listed for this composition (meV/atom): 16
Crystal system: trigonal

Lattice parameters (Å, degrees): 4.3891 4.3891 7.8507 73.77 73.77 60.00
With the nearest neighbours (Å) after each atom.
Fractional coordinates of all 4 atoms:
Tl1 0.4987 0.4987 0.5040  6 Cd 3.23-3.25
Cd1 0.0753 0.0753 0.7741  3 Te 3.00, 3 Tl 3.23
Cd2 0.2564 0.2564 0.2309  3 Te 3.10, 3 Tl 3.25
Te1 0.6697 0.6697 0.9910  6 Cd 3.00-3.10

Here is a geometry-optimized TlCd2Te structure from Alexandria via LeMat-Bulk. Energies are from GGA-PBE.

Results
D(E_F) (states/eV per atom): 0.20
Formation energy from raw total energies (eV/atom): 0.04
Energy relative to the lowest polymorph listed for this composition (meV/atom): 106
Crystal system: orthorhombic

Lattice parameters (Å, degrees): 3.2445 3.2445 10.6148 90.00 90.00 92.45
With the nearest neighbours (Å) after each atom.
Fractional coordinates of all 4 atoms:
Tl1 0.5000 0.5000 0.7718  4 Tl 3.24, 4 Cd 3.45-3.52
Te1 0.0000 0.0000 0.4850  4 Te 3.24, 4 Cd 3.56-3.62
Cd1 0.0000 0.0000 0.0187  8 Cd 3.13-3.24, 2 Tl 3.45
Cd2 0.5000 0.5000 0.2245  8 Cd 3.13-3.24

Here is a geometry-optimized TlCd2Te structure from Alexandria via LeMat-Bulk. Energies are from GGA-PBE.

Results
D(E_F) (states/eV per atom): 0.31
Formation energy from raw total energies (eV/atom): -0.05
Energy relative to the lowest polymorph listed for this composition (meV/atom): 15
Crystal system: monoclinic

Lattice parameters (Å, degrees): 6.7554 6.7554 4.6125 70.14 70.14 35.63
With the nearest neighbours (Å) after each atom.
Fractional coordinates of all 4 atoms:
Tl1 0.2283 0.2283 0.2725  6 Cd 3.13-3.28
Te1 0.4679 0.4679 0.5305  6 Cd 3.16-3.20
Cd1 0.0344 0.0344 0.9650  4 Te 3.20, 2 Tl 3.28, 2 Cd 3.50
Cd2 0.7694 0.7694 0.7321  4 Tl 3.13-3.14, 2 Te 3.16, 2 Cd 3.50

Here is a geometry-optimized TlCd3Te structure from Alexandria via LeMat-Bulk. Energies are from GGA-PBE.

Results
D(E_F) (states/eV per atom): 0.79
Formation energy from raw total energies (eV/atom): 0.35
Energy relative to the lowest polymorph listed for this composition (meV/atom): 0
Crystal system: cubic

Lattice parameters (Å, degrees): 5.8114 5.8114 5.8114 90.00 90.00 90.00
With the nearest neighbours (Å) after each atom.
Fractional coordinates of all 5 atoms:
Tl1 0.5000 0.5000 0.5000  12 Cd 4.11
Te1 0.0000 0.0000 0.0000  6 Cd 2.91
Cd1 0.0000 0.5000 0.0000  2 Te 2.91
Cd2 0.0000 0.0000 0.5000  2 Te 2.91
Cd3 0.5000 0.0000 0.0000  2 Te 2.91

Here is a geometry-optimized Tm3Tl3CdTe8 structure from Alexandria via LeMat-Bulk. Energies are from GGA-PBE.

Results
D(E_F) (states/eV per atom): 0.68
Formation energy from raw total energies (eV/atom): -0.78
Crystal system: monoclinic

Lattice parameters (Å, degrees): 8.6678 8.6670 9.6095 116.80 90.00 120.00
With the nearest neighbours (Å) after each atom.
Fractional coordinates of all 15 atoms:
Tm1 0.5000 0.0000 0.5000  6 Te 3.03-3.06
Tm2 0.5000 0.5000 0.5000  6 Te 3.03-3.06
Tm3 0.0000 0.5000 0.5000  6 Te 3.03-3.06
Tl1 0.0000 0.0000 0.0000  6 Te 3.43-3.45
Tl2 0.0000 0.5000 0.0000  6 Te 3.43-3.45
Tl3 0.5000 0.5000 0.0000  6 Te 3.43-3.45
Cd1 0.0000 0.0000 0.5000  6 Te 3.07-3.08
Te1 0.2620 0.5239 0.2861  3 Tm 3.06
Te2 0.7380 0.4761 0.7139  3 Tm 3.06
Te3 0.7608 0.5216 0.2882  2 Tm 3.03, 1 Cd 3.07
Te4 0.2392 0.4784 0.7118  2 Tm 3.03, 1 Cd 3.07
Te5 0.7599 0.0276 0.2875  2 Tm 3.03, 1 Cd 3.08
Te6 0.2401 0.9724 0.7125  2 Tm 3.03, 1 Cd 3.08
Te7 0.2677 0.0276 0.2875  2 Tm 3.03, 1 Cd 3.08
Te8 0.7323 0.9724 0.7125  2 Tm 3.03, 1 Cd 3.08

Here is a geometry-optimized TmTlCdTe3 structure from Alexandria via LeMat-Bulk. Energies are from GGA-PBE.

Results
Formation energy from raw total energies (eV/atom): -0.79
Crystal system: monoclinic

Lattice parameters (Å, degrees): 4.4653 9.3957 10.5086 106.76 90.00 90.00
With the nearest neighbours (Å) after each atom.
Fractional coordinates of all 12 atoms:
Tm1 0.2500 0.6723 0.1391  6 Te 3.02-3.23
Tm2 0.7500 0.3277 0.8609  6 Te 3.02-3.23
Tl1 0.2500 0.2085 0.2247  5 Te 3.43-3.62
Tl2 0.7500 0.7915 0.7753  5 Te 3.43-3.62
Cd1 0.2500 0.0823 0.6062  4 Te 2.82-2.98
Cd2 0.7500 0.9177 0.3938  4 Te 2.82-2.98
Te1 0.7500 0.8936 0.1202  1 Cd 2.82, 2 Tm 3.10
Te2 0.2500 0.1064 0.8798  1 Cd 2.82, 2 Tm 3.10
Te3 0.2500 0.7597 0.4601  3 Cd 2.88-2.98
Te4 0.7500 0.2403 0.5399  3 Cd 2.88-2.98
Te5 0.7500 0.4566 0.1600  3 Tm 3.02-3.07
Te6 0.2500 0.5434 0.8400  3 Tm 3.02-3.07